# MnCoPd6 GGA-PBE relaxed
data_MnCoPd6
_cell_length_a 3.888
_cell_length_b 3.888
_cell_length_c 7.821
_cell_angle_alpha 90.00
_cell_angle_beta 90.00
_cell_angle_gamma 90.00
_symmetry_space_group_name_H-M 'P 1'
_symmetry_Int_Tables_number 1
loop_
_symmetry_equiv_pos_as_xyz
'x,y,z'
loop_
_atom_site_label
_atom_site_fract_x
_atom_site_fract_y
_atom_site_fract_z
_atom_site_occupancy
Pd1 0.500 0.000 0.254 1
Pd2 0.500 0.500 0.500 1
Pd3 0.000 0.500 0.746 1
Pd4 0.000 0.500 0.254 1
Pd5 0.500 0.500 0.000 1
Pd6 0.500 0.000 0.746 1
Co1 0.000 0.000 0.500 1
Mn1 0.000 0.000 0.000 1
# **Fermi-level density of states**: 1.0680 states/eV per atom
# **SG**: P4/mmm (123)
# **Raw total energy**: -6.014 eV/atom


# Ir3SBr GGA-PBE relaxed
data_Ir3SBr
_cell_length_a 4.491
_cell_length_b 4.491
_cell_length_c 4.491
_cell_angle_alpha 90.00
_cell_angle_beta 90.00
_cell_angle_gamma 90.00
_symmetry_space_group_name_H-M 'P 1'
_symmetry_Int_Tables_number 1
loop_
_symmetry_equiv_pos_as_xyz
'x,y,z'
loop_
_atom_site_label
_atom_site_fract_x
_atom_site_fract_y
_atom_site_fract_z
_atom_site_occupancy
Ir1 0.000 0.000 0.500 1
Ir2 0.500 0.000 0.000 1
Ir3 0.000 0.500 0.000 1
S1 0.000 0.000 0.000 1
Br1 0.500 0.500 0.500 1
# **Fermi-level density of states**: 1.4318 states/eV per atom
# **SG**: Pm-3m (221)
# **Formation energy from raw total energies**: 587 kJ/mol of formula units
# **Energy relative to the lowest polymorph listed for this composition**: 0 kJ/mol of formula units


# LaIn2P GGA-PBE relaxed
data_LaIn2P
_cell_length_a 4.085
_cell_length_b 4.085
_cell_length_c 7.234
_cell_angle_alpha 90.00
_cell_angle_beta 90.00
_cell_angle_gamma 90.00
_symmetry_space_group_name_H-M 'P 1'
_symmetry_Int_Tables_number 1
loop_
_symmetry_equiv_pos_as_xyz
'x,y,z'
loop_
_atom_site_label
_atom_site_fract_x
_atom_site_fract_y
_atom_site_fract_z
_atom_site_occupancy
P1 0.500 0.500 0.628 1
In1 0.000 0.000 0.045 1
In2 0.500 0.500 0.254 1
La1 0.000 0.000 0.572 1
# **Fermi-level density of states**: 0.3313 states/eV per atom
# **SG**: P4mm (99)
# **Raw total energy**: -4.470 eV/atom


# BaCd GGA-PBE relaxed
data_BaCd
_cell_length_a 6.872
_cell_length_b 6.872
_cell_length_c 5.476
_cell_angle_alpha 90.00
_cell_angle_beta 90.00
_cell_angle_gamma 141.23
_symmetry_space_group_name_H-M 'P 1'
_symmetry_Int_Tables_number 1
loop_
_symmetry_equiv_pos_as_xyz
'x,y,z'
loop_
_atom_site_label
_atom_site_fract_x
_atom_site_fract_y
_atom_site_fract_z
_atom_site_occupancy
Ba1 0.858 0.142 0.750 1
Ba2 0.142 0.858 0.250 1
Cd1 0.570 0.430 0.750 1
Cd2 0.430 0.570 0.250 1
# **Fermi-level density of states**: 0.8668 states/eV per atom
# **SG**: Cmcm (63)
# **Raw total energy**: -1.706 eV/atom


# Y2CoP4Ir3 GGA-PBE relaxed
data_Y2CoP4Ir3
_cell_length_a 4.123
_cell_length_b 4.123
_cell_length_c 9.415
_cell_angle_alpha 90.00
_cell_angle_beta 90.00
_cell_angle_gamma 90.00
_symmetry_space_group_name_H-M 'P 1'
_symmetry_Int_Tables_number 1
loop_
_symmetry_equiv_pos_as_xyz
'x,y,z'
loop_
_atom_site_label
_atom_site_fract_x
_atom_site_fract_y
_atom_site_fract_z
_atom_site_occupancy
Y1 0.500 0.000 0.247 1
Y2 0.000 0.500 0.753 1
Ir1 0.500 0.000 0.883 1
Ir2 0.000 0.500 0.117 1
Ir3 0.000 0.000 0.500 1
P1 0.500 0.500 0.000 1
P2 0.000 0.000 0.000 1
P3 0.500 0.000 0.631 1
P4 0.000 0.500 0.369 1
Co1 0.500 0.500 0.500 1
# **Fermi-level density of states**: 0.4218 states/eV per atom
# **SG**: P-4m2 (115)
# **Raw total energy**: -7.778 eV/atom


# SrSi GGA-PBE relaxed
data_SrSi
_cell_length_a 8.720
_cell_length_b 8.720
_cell_length_c 8.720
_cell_angle_alpha 27.31
_cell_angle_beta 27.31
_cell_angle_gamma 27.31
_symmetry_space_group_name_H-M 'P 1'
_symmetry_Int_Tables_number 1
loop_
_symmetry_equiv_pos_as_xyz
'x,y,z'
loop_
_atom_site_label
_atom_site_fract_x
_atom_site_fract_y
_atom_site_fract_z
_atom_site_occupancy
Si1 0.322 0.322 0.322 1
Si2 0.678 0.678 0.678 1
Sr1 0.907 0.907 0.907 1
Sr2 0.093 0.093 0.093 1
# **Fermi-level density of states**: 0.7713 states/eV per atom
# **SG**: R-3m (166)
# **Formation energy from raw total energies**: -56 kJ/mol of formula units


# SnTe2S GGA-PBE relaxed
data_SnTe2S
_cell_length_a 10.526
_cell_length_b 10.526
_cell_length_c 10.526
_cell_angle_alpha 18.87
_cell_angle_beta 18.87
_cell_angle_gamma 18.87
_symmetry_space_group_name_H-M 'P 1'
_symmetry_Int_Tables_number 1
loop_
_symmetry_equiv_pos_as_xyz
'x,y,z'
loop_
_atom_site_label
_atom_site_fract_x
_atom_site_fract_y
_atom_site_fract_z
_atom_site_occupancy
S1 0.500 0.500 0.500 1
Sn1 0.000 0.000 0.000 1
Te1 0.900 0.900 0.900 1
Te2 0.100 0.100 0.100 1
# **Fermi-level density of states**: 0.6721 states/eV per atom
# **SG**: R-3m (166)
# **Formation energy from raw total energies**: 124 kJ/mol of formula units


# La2ScAgO GGA-PBE relaxed
data_La2ScAgO
_cell_length_a 4.806
_cell_length_b 5.485
_cell_length_c 4.806
_cell_angle_alpha 90.00
_cell_angle_beta 90.00
_cell_angle_gamma 90.00
_symmetry_space_group_name_H-M 'P 1'
_symmetry_Int_Tables_number 1
loop_
_symmetry_equiv_pos_as_xyz
'x,y,z'
loop_
_atom_site_label
_atom_site_fract_x
_atom_site_fract_y
_atom_site_fract_z
_atom_site_occupancy
Ag1 0.000 0.500 0.000 1
O1 0.000 0.000 0.000 1
La1 0.000 0.000 0.500 1
La2 0.500 0.000 0.000 1
Sc1 0.500 0.500 0.500 1
# **Fermi-level density of states**: 1.4440 states/eV per atom
# **SG**: P4/mmm (123)
# **Formation energy from raw total energies**: -399 kJ/mol of formula units
# **Energy relative to the lowest polymorph listed for this composition**: 196 kJ/mol of formula units


# KBe3P GGA-PBE relaxed
data_KBe3P
_cell_length_a 4.454
_cell_length_b 4.454
_cell_length_c 4.454
_cell_angle_alpha 90.00
_cell_angle_beta 90.00
_cell_angle_gamma 90.00
_symmetry_space_group_name_H-M 'P 1'
_symmetry_Int_Tables_number 1
loop_
_symmetry_equiv_pos_as_xyz
'x,y,z'
loop_
_atom_site_label
_atom_site_fract_x
_atom_site_fract_y
_atom_site_fract_z
_atom_site_occupancy
Be1 0.000 0.500 0.000 1
Be2 0.000 0.000 0.500 1
Be3 0.500 0.000 0.000 1
P1 0.000 0.000 0.000 1
K1 0.500 0.500 0.500 1
# **Fermi-level density of states**: 0.7937 states/eV per atom
# **SG**: Pm-3m (221)
# **Energy relative to the lowest polymorph listed for this composition**: 0 kJ/mol of formula units


# LiTe2Br GGA-PBE relaxed
data_LiTe2Br
_cell_length_a 4.822
_cell_length_b 4.822
_cell_length_c 8.318
_cell_angle_alpha 77.10
_cell_angle_beta 77.10
_cell_angle_gamma 48.08
_symmetry_space_group_name_H-M 'P 1'
_symmetry_Int_Tables_number 1
loop_
_symmetry_equiv_pos_as_xyz
'x,y,z'
loop_
_atom_site_label
_atom_site_fract_x
_atom_site_fract_y
_atom_site_fract_z
_atom_site_occupancy
Br1 0.572 0.572 0.378 1
Li1 0.258 0.258 0.376 1
Te1 0.720 0.720 0.794 1
Te2 0.949 0.949 0.953 1
# **Fermi-level density of states**: 0.3454 states/eV per atom
# **SG**: Cm (8)
# **Formation energy from raw total energies**: -212 kJ/mol of formula units
# **Energy relative to the lowest polymorph listed for this composition**: 27 kJ/mol of formula units


> Fermi-level density of states of number 5 (Y2CoP4Ir3)?

0.4218 states/eV per atom


> Among the records above, which one has the lowest Fermi-level density of states?

LaIn2P


> Among the records above, which one has the lowest Fermi-level density of states?

LaIn2P


> Number 3 is which compound?

LaIn2P